No. 1
Below is a relaxed structure of Th2Al3PdPt4, with properties calculated at the GGA-PBE level.

POSCAR file:
```
Th2Al3PdPt4
1.0
4.0808 0.0000 0.0000
0.0000 4.0808 0.0000
0.0000 0.0000 11.5849
Al Pt Th Pd
3 4 2 1
direct
0.0000 0.5000 0.1231
0.0000 0.0000 0.5000
0.5000 0.0000 0.8769
0.5000 0.5000 0.0000
0.5000 0.0000 0.6631
0.0000 0.0000 0.0000
0.0000 0.5000 0.3369
0.5000 0.0000 0.2572
0.0000 0.5000 0.7428
0.5000 0.5000 0.5000
```

## Properties
The space-group type is P-4m2 (115). Its energy of formation is -1.0446 eV/atom.

***

No. 2
Below is a relaxed structure of ThAlPdPt, with properties calculated at the GGA-PBE level.

POSCAR file:
```
ThAlPdPt
1.0
-1.9656 0.5596 4.3995
1.0668 -3.1300 3.5492
2.7628 1.4112 3.7292
Th Pt Al Pd
1 1 1 1
direct
0.0000 0.0000 0.0000
0.7500 0.7500 0.7500
0.5000 0.5000 0.5000
0.2500 0.2500 0.2500
```

## Properties
The space-group type is F-43m (216). The calculation puts the polymorph energy (0 for the lowest one) at 0.191 eV/atom. Its energy of formation is -0.8411 eV/atom.

***

No. 3
Below is a relaxed structure of ThAlPdPt, with properties calculated at the GGA-PBE level.

POSCAR file:
```
ThAlPdPt
1.0
-2.6986 -3.2640 -1.0590
3.4407 -0.7595 2.5712
-4.1453 2.5820 2.6051
Th Pt Al Pd
1 1 1 1
direct
0.6181 0.2362 0.4966
0.4015 0.8030 0.8467
0.1136 0.2273 0.9830
0.8331 0.6662 0.1411
```

## Properties
The space-group type is Cm (8). The calculation puts the polymorph energy (0 for the lowest one) at 0.000 eV/atom. Its energy of formation is -1.0320 eV/atom.

***

No. 4
Below is a relaxed structure of Th2Al3PdPt12, with properties calculated at the GGA-PBE level.

POSCAR file:
```
Th2Al3PdPt12
1.0
-6.1880 4.7125 -0.5645
-5.8935 -2.5881 -4.4029
-6.4031 -2.2713 3.8287
Th Pt Pd Al
2 12 1 3
direct
0.3830 0.3830 0.3830
0.6170 0.6170 0.6170
0.3705 0.3705 0.8869
0.3857 0.8606 0.8606
0.1394 0.1394 0.6143
0.6295 0.1131 0.6295
0.8869 0.3705 0.3705
0.1394 0.6143 0.1394
0.6295 0.6295 0.1131
0.8606 0.8606 0.3857
0.3705 0.8869 0.3705
0.8606 0.3857 0.8606
0.6143 0.1394 0.1394
0.1131 0.6295 0.6295
0.0000 0.0000 0.0000
0.0000 0.0000 0.5000
0.5000 0.0000 0.0000
0.0000 0.5000 0.0000
```

## Properties
The space-group type is R-3m (166). Its energy of formation is -0.5251 eV/atom.

***

No. 5
Below is a relaxed structure of Th2Al4PdPt3, with properties calculated at the GGA-PBE level.

POSCAR file:
```
Th2Al4PdPt3
1.0
-0.1332 -2.8337 -3.2386
-0.6978 -3.1830 2.8138
-10.2349 1.4751 -0.8696
Al Pt Th Pd
4 3 2 1
direct
0.0000 0.0000 0.0000
0.5000 0.5000 0.0000
0.5000 0.0000 0.6267
0.0000 0.5000 0.3733
0.5000 0.0000 0.8650
0.0000 0.0000 0.5000
0.0000 0.5000 0.1350
0.0000 0.5000 0.7533
0.5000 0.0000 0.2467
0.5000 0.5000 0.5000
```

## Properties
The space-group type is P-4m2 (115). Its energy of formation is -1.0751 eV/atom.

***

No. 6
Below is a relaxed structure of Ti2AlPdPt5, with properties calculated at the GGA-PBE level.

POSCAR file:
```
Ti2AlPdPt5
1.0
7.4507 0.0000 0.0000
0.0000 7.4507 0.0000
-3.7253 -3.7253 5.3997
Pt Pd Ti Al
10 2 4 2
direct
0.4208 0.3421 0.2628
0.5792 0.6579 0.7372
0.1579 0.0792 0.7372
0.9208 0.4208 0.2628
0.5000 0.5000 0.0000
0.6579 0.1579 0.7372
0.0792 0.5792 0.7372
0.3421 0.8421 0.2628
0.8421 0.9208 0.2628
0.0000 0.0000 0.0000
0.2500 0.7500 0.5000
0.7500 0.2500 0.5000
0.8900 0.6100 0.0000
0.3900 0.8900 0.0000
0.1100 0.3900 0.0000
0.6100 0.1100 0.0000
0.7500 0.7500 0.5000
0.2500 0.2500 0.5000
```

## Properties
The space-group type is I4/mcm (140). Its energy of formation is -0.3289 eV/atom.

***

No. 7
Below is a relaxed structure of Tm2Al4Pd3Pt, with properties calculated at the GGA-PBE level.

POSCAR file:
```
Tm2Al4Pd3Pt
1.0
4.0865 0.0000 0.0000
0.0000 4.0865 0.0000
0.0000 0.0000 10.9348
Pd Al Tm Pt
3 4 2 1
direct
0.0000 0.5000 0.1409
0.5000 0.0000 0.8591
0.0000 0.0000 0.5000
0.0000 0.5000 0.3677
0.5000 0.0000 0.6323
0.0000 0.0000 0.0000
0.5000 0.5000 0.0000
0.0000 0.5000 0.7540
0.5000 0.0000 0.2460
0.5000 0.5000 0.5000
```

## Properties
The space-group type is P-4m2 (115). Its energy of formation is -0.9044 eV/atom.

***

No. 8
Below is a relaxed structure of YAl2Pd2Pt, with properties calculated at the GGA-PBE level.

POSCAR file:
```
YAl2Pd2Pt
1.0
4.6655 0.0000 0.0000
0.0000 4.6655 0.0000
0.0000 0.0000 5.5588
Pd Al Y Pt
2 2 1 1
direct
0.5000 0.5000 0.2556
0.5000 0.5000 0.7444
0.5000 0.0000 0.0000
0.0000 0.5000 0.0000
0.0000 0.0000 0.5000
0.0000 0.0000 0.0000
```

## Properties
The space-group type is P4/mmm (123). Its energy of formation is -0.6480 eV/atom.